Computed, not measured: an optimized crystal structure of K2RePb at the PBE level of DFT.

Cell lengths 10.5059, 10.5059, 4.5450 Å; angles 77.57, 77.57, 17.53 degrees
With the nearest neighbours (Å) after each atom.
Fractional positions:
K 0.6006 0.6006 0.3982  2 K 3.20, 2 Re 3.43
Pb 0.7500 0.7500 0.7500  4 Re 2.78
K 0.8994 0.8994 0.1018  2 K 3.20, 2 Re 3.43
Re 0.2500 0.2500 0.2500  4 Pb 2.78

calculated total energy = -15.114 eV/cell
SG = C2/m, No. 12
DOS at the Fermi energy = 3.582 states/eV/f.u.
ΔH_f (0 K) = 0.81 eV/atom



Computed, not measured: an optimized crystal structure of ScZn2H at the PBE level of DFT.

Cell lengths 5.6079, 5.6079, 5.5214 Å; angles 59.48, 59.48, 90.00 degrees
With the nearest neighbours (Å) after each atom.
Fractional positions:
Sc 0.7500 0.2500 0.5000  8 Zn 2.96-3.23
Zn 0.3068 0.6250 0.2500  2 H 1.74
Zn 0.4432 0.1250 0.2500  2 H 1.74
Sc 0.0000 0.0000 0.0000  8 Zn 2.96-3.23
H 0.2500 0.7500 0.5000  4 Zn 1.74
Zn 0.3750 0.5568 0.7500  2 H 1.74
H 0.5000 0.5000 0.0000  4 Zn 1.74
Zn 0.8750 0.6932 0.7500  2 H 1.74

energy relative to the lowest polymorph listed for this composition = 0 meV/atom
calculated total energy = -23.016 eV/cell
SG = I-42d, No. 122
DOS at the Fermi energy = 3.596 states/eV/f.u.



Computed, not measured: an optimized crystal structure of TiInI4 at the PBE level of DFT.

Cell lengths 4.2353, 9.8538, 12.5550 Å; angles 80.26, 80.29, 77.59 degrees
With the nearest neighbours (Å) after each atom.
Fractional positions:
Ti 0.5000 0.5000 0.0000  6 I 2.78-2.88
I 0.1571 0.7210 0.4656  1 Ti 2.78
In 0.2493 0.2500 0.7500  6 I 3.38-3.39
I 0.4537 0.9359 0.6567  2 Ti 2.88
I 0.0463 0.5641 0.8433  2 Ti 2.88
I 0.3436 0.7790 0.0344  1 Ti 2.78
I 0.9537 0.4359 0.1567  2 Ti 2.88
In 0.7507 0.7500 0.2500  6 I 3.38-3.39
I 0.5463 0.0641 0.3433  2 Ti 2.88
I 0.8429 0.2790 0.5344  1 Ti 2.78
I 0.6564 0.2210 0.9656  1 Ti 2.78
Ti 0.0000 0.0000 0.5000  6 I 2.78-2.88

calculated total energy = -41.316 eV/cell
formation energy (no corrections) = -637 meV/atom
SG = C2/m, No. 12
DOS at the Fermi energy = 3.530 states/eV/f.u.



Computed, not measured: an optimized crystal structure of CoHgAs4 at the PBE level of DFT.

Cell lengths 5.5670, 5.5670, 5.5670 Å; angles 60.00, 60.00, 60.00 degrees
With the nearest neighbours (Å) after each atom.
Fractional positions:
As 0.3748 0.3748 0.3748  6 As 2.78-2.79
As 0.8757 0.3748 0.3748  6 As 2.78-2.79
Hg 0.0000 0.0000 0.0000  12 As 3.26, 4 Co 3.41
As 0.3748 0.8757 0.3748  6 As 2.78-2.79
As 0.3748 0.3748 0.8757  6 As 2.78-2.79
Co 0.7500 0.7500 0.7500  12 As 3.26, 4 Hg 3.41

calculated total energy = -21.862 eV/cell
SG = F-43m, No. 216
DOS at the Fermi energy = 3.242 states/eV/f.u.
ΔH_f (0 K) = 0.69 eV/atom



Computed, not measured: an optimized crystal structure of MoPb4Au at the PBE level of DFT.

Cell lengths 6.2808, 6.2808, 6.2808 Å; angles 60.00, 60.00, 60.00 degrees
With the nearest neighbours (Å) after each atom.
Fractional positions:
Pb 0.3746 0.8763 0.3746  6 Pb 3.13-3.15
Mo 0.0000 0.0000 0.0000  12 Pb 3.68, 4 Au 3.85
Pb 0.3746 0.3746 0.3746  6 Pb 3.13-3.15
Pb 0.3746 0.3746 0.8763  6 Pb 3.13-3.15
Au 0.7500 0.7500 0.7500  12 Pb 3.68, 4 Mo 3.85
Pb 0.8763 0.3746 0.3746  6 Pb 3.13-3.15

calculated total energy = -23.644 eV/cell
SG = F-43m, No. 216
DOS at the Fermi energy = 2.985 states/eV/f.u.
ΔH_f (0 K) = 0.88 eV/atom



Computed, not measured: an optimized crystal structure of BaCu2Mo at the PBE level of DFT.

Cell lengths 4.3027, 4.3027, 6.3743 Å; angles 70.32, 70.32, 60.00 degrees
With the nearest neighbours (Å) after each atom.
Fractional positions:
Cu 0.9345 0.9345 0.1965  3 Cu 2.49, 3 Mo 2.57
Ba 0.7470 0.7470 0.7581  4 Mo 3.25-3.61, 4 Cu 3.30-3.58
Cu 0.2554 0.2554 0.2341  3 Cu 2.49, 3 Mo 2.53
Mo 0.5630 0.5630 0.3113  6 Cu 2.53-2.57

energy relative to the lowest polymorph listed for this composition = 8 meV/atom
calculated total energy = -19.102 eV/cell
SG = R3m, No. 160
DOS at the Fermi energy = 1.820 states/eV/f.u.
ΔH_f (0 K) = 0.46 eV/atom



Computed, not measured: an optimized crystal structure of NdMg3Pb4 at the PBE level of DFT.

Cell lengths 4.4554, 4.9077, 9.9655 Å; angles 90.00, 90.00, 90.00 degrees
With the nearest neighbours (Å) after each atom.
Fractional positions:
Pb 0.0000 0.0000 0.5000  8 Mg 3.28-3.31, 4 Pb 3.43
Nd 0.5000 0.5000 0.0000  8 Pb 3.31-3.42, 4 Mg 3.55
Pb 0.0000 0.5000 0.2602  6 Mg 3.27-3.31, 2 Nd 3.42, 4 Pb 3.43-3.57
Mg 0.5000 0.5000 0.5000  8 Pb 3.27-3.31, 4 Mg 3.44
Mg 0.5000 0.0000 0.2579  8 Pb 3.28-3.40, 2 Mg 3.44, 2 Nd 3.55
Mg 0.5000 0.0000 0.7421  8 Pb 3.28-3.40, 2 Mg 3.44, 2 Nd 3.55
Pb 0.0000 0.0000 0.0000  4 Nd 3.31, 4 Mg 3.40, 4 Pb 3.57
Pb 0.0000 0.5000 0.7398  6 Mg 3.27-3.31, 2 Nd 3.42, 4 Pb 3.43-3.57

calculated total energy = -26.028 eV/cell
SG = Pmmm, No. 47
DOS at the Fermi energy = 4.108 states/eV/f.u.
ΔH_f (0 K) = -0.21 eV/atom



Computed, not measured: an optimized crystal structure of ZrAl2BiMo at the PBE level of DFT.

Cell lengths 5.2198, 5.4984, 5.2198 Å; angles 90.00, 90.00, 90.00 degrees
With the nearest neighbours (Å) after each atom.
Fractional positions:
Bi 0.0000 0.0000 0.0000  4 Al 2.61, 2 Zr 2.75
Zr 0.0000 0.5000 0.0000  2 Bi 2.75
Mo 0.5000 0.5000 0.5000  4 Zr 3.69, 8 Al 3.79
Al 0.5000 0.0000 0.0000  2 Bi 2.61
Al 0.0000 0.0000 0.5000  2 Bi 2.61

calculated total energy = -22.077 eV/cell
SG = P4/mmm, No. 123
DOS at the Fermi energy = 3.352 states/eV/f.u.
ΔH_f (0 K) = 1.73 eV/atom



Computed, not measured: an optimized crystal structure of Er2Cu3Si2 at the PBE level of DFT.

Cell lengths 3.9962, 5.4165, 6.4016 Å; angles 112.42, 90.00, 111.65 degrees
With the nearest neighbours (Å) after each atom.
Fractional positions:
Cu 0.3936 0.7872 0.5740  3 Si 2.46-2.61, 2 Cu 2.49-2.68
Si 0.1392 0.2783 0.2277  5 Cu 2.46-2.61
Er 0.1487 0.2975 0.7612  5 Cu 2.83-3.15, 4 Si 2.90-3.03
Cu 0.5000 0.0000 0.0000  2 Cu 2.49, 4 Si 2.53
Er 0.8513 0.7025 0.2388  5 Cu 2.83-3.15, 4 Si 2.90-3.03
Si 0.8608 0.7217 0.7723  5 Cu 2.46-2.61
Cu 0.6064 0.2128 0.4260  3 Si 2.46-2.61, 2 Cu 2.49-2.68

calculated total energy = -35.695 eV/cell
formation energy (no corrections) = -491 meV/atom
SG = C2/m, No. 12
DOS at the Fermi energy = 3.479 states/eV/f.u.



Q: Which formula does entry 2 have?
A: ScZn2H